The following is a DFT calculation (PBE) of crystalline YTm2Co at its relaxed geometry.

Calculated values
DOS at the Fermi energy: 4.71 states/eV/f.u.
Space-group type: Pnma (62)
E_form: -183 meV per atom
Density: 8.13 g cm⁻³
Energy: -0.2136 Ha/atom
Spin magnetization: 0.00 μB per formula unit
Energy above the lowest structure with this stoichiometry: 0 meV per atom

Cell lengths 6.208, 6.913, 9.252 Å; angles 90.00, 90.00, 90.00 degrees
Fractional coordinates of all 16 atoms:
Tm  0.324  0.174  0.067
Co  0.052  0.388  0.250
Y  0.636  0.540  0.250
Y  0.364  0.460  0.750
Tm  0.324  0.174  0.433
Tm  0.176  0.674  0.433
Co  0.552  0.112  0.750
Co  0.448  0.888  0.250
Tm  0.676  0.826  0.933
Y  0.136  0.960  0.750
Y  0.864  0.040  0.250
Tm  0.824  0.326  0.567
Tm  0.176  0.674  0.067
Tm  0.824  0.326  0.933
Tm  0.676  0.826  0.567
Co  0.948  0.612  0.750